A plane-wave DFT calculation with GGA-PBE was carried out for crystalline CaAc5Sm2 at its relaxed geometry.

Results
M_tot, μB per formula unit: 0.0
Symmetry: Immm
ΔH_f (0 K), eV per atom: 0.05

a b c (Å): 3.8609 11.9550 9.5996
angles (deg): 128.51 101.60 90.00
Sites, in units of the cell vectors:
Ca 0.0000 0.0000 0.0000
Ac 0.0000 0.5000 0.0000
Ac 0.6329 0.3996 0.2658
Ac 0.3671 0.6004 0.7342
Ac 0.6329 0.8662 0.2658
Ac 0.3671 0.1338 0.7342
Sm 0.2529 0.7529 0.5059
Sm 0.7471 0.2471 0.4941